(1)
Computed, not measured: an optimized crystal structure of Er6Bi2Te3As at the PBE level of DFT.

Results
The calculation puts the uncorrected formation energy at -1.166 eV/atom. As for the space group: C2/m. As for the crystal system: monoclinic.

a = 9.727 Å, b = 9.727 Å, c = 8.684 Å
α = 102.78°, β = 102.78°, γ = 25.57°
Sites, in units of the cell vectors:
Er (0.001, 0.001, 0.280)
Er (0.336, 0.336, 0.918)
Er (0.349, 0.349, 0.424)
Er (0.651, 0.651, 0.576)
Er (0.664, 0.664, 0.082)
Er (0.999, 0.999, 0.720)
Bi (0.167, 0.167, 0.833)
Bi (0.833, 0.833, 0.167)
Te (0.171, 0.171, 0.337)
Te (0.500, 0.500, 0.000)
Te (0.829, 0.829, 0.663)
As (0.500, 0.500, 0.500)

***

(2)
Computed, not measured: an optimized crystal structure of Nd5Dy2Tl at the PBE level of DFT.

Results
The polymorph energy (0 for the lowest one) is 0.00 kJ per mole of atoms. As for the space group: Pbam. The value obtained for the formation energy is -48.2 meV/atom. As for the crystal system: orthorhombic.

a = 7.194 Å, b = 14.421 Å, c = 5.028 Å
α = 90.00°, β = 90.00°, γ = 90.00°
Sites, in units of the cell vectors:
Nd (0.000, 0.000, 0.000)
Nd (0.004, 0.261, 0.000)
Nd (0.247, 0.126, 0.500)
Nd (0.253, 0.626, 0.500)
Nd (0.496, 0.761, 0.000)
Nd (0.500, 0.500, 0.000)
Nd (0.504, 0.239, 0.000)
Nd (0.747, 0.374, 0.500)
Nd (0.753, 0.874, 0.500)
Nd (0.996, 0.739, 0.000)
Dy (0.248, 0.877, 0.500)
Dy (0.252, 0.377, 0.500)
Dy (0.748, 0.623, 0.500)
Dy (0.752, 0.123, 0.500)
Tl (0.000, 0.500, 0.000)
Tl (0.500, 0.000, 0.000)

***

(3)
Computed, not measured: an optimized crystal structure of KNa2RuCl8 at the PBE level of DFT.

Results
The calculation puts the uncorrected formation energy at -1.077 eV/atom. As for the space group: P-1. As for the crystal system: triclinic.

a = 5.956 Å, b = 6.231 Å, c = 8.975 Å
α = 90.03°, β = 90.18°, γ = 94.39°
Sites, in units of the cell vectors:
K (0.000, 0.000, 0.000)
Na (0.499, 0.500, 0.737)
Na (0.501, 0.500, 0.263)
Ru (0.000, 0.000, 0.500)
Cl (0.225, 0.327, 0.499)
Cl (0.226, 0.867, 0.314)
Cl (0.228, 0.870, 0.687)
Cl (0.248, 0.485, 0.000)
Cl (0.752, 0.515, 0.000)
Cl (0.772, 0.130, 0.313)
Cl (0.774, 0.133, 0.686)
Cl (0.775, 0.673, 0.501)

***

(4)
Computed, not measured: an optimized crystal structure of Tm3Cd2In3 at the PBE level of DFT.

Results
The polymorph energy (0 for the lowest one) is 7.50 kJ per mole of atoms. As for the space group: P6_3/mcm. The value obtained for the formation energy is -244.4 meV/atom. As for the crystal system: hexagonal.

a = 8.884 Å, b = 8.884 Å, c = 5.948 Å
α = 90.00°, β = 90.00°, γ = 120.00°
Sites, in units of the cell vectors:
Tm (0.000, 0.236, 0.250)
Tm (0.000, 0.764, 0.750)
Tm (0.236, 0.000, 0.250)
Tm (0.236, 0.236, 0.750)
Tm (0.764, 0.000, 0.750)
Tm (0.764, 0.764, 0.250)
Cd (0.333, 0.667, 0.000)
Cd (0.333, 0.667, 0.500)
Cd (0.667, 0.333, 0.000)
Cd (0.667, 0.333, 0.500)
In (0.000, 0.400, 0.750)
In (0.000, 0.600, 0.250)
In (0.400, 0.000, 0.750)
In (0.400, 0.400, 0.250)
In (0.600, 0.000, 0.250)
In (0.600, 0.600, 0.750)

***

(5)
Computed, not measured: an optimized crystal structure of Pa3BeS6 at the PBE level of DFT.

Results
The calculation puts the uncorrected formation energy at -1.424 eV/atom. As for the space group: Cmc2_1. As for the crystal system: orthorhombic.

a = 8.362 Å, b = 8.362 Å, c = 6.328 Å
α = 90.00°, β = 90.00°, γ = 100.36°
Sites, in units of the cell vectors:
Pa (0.105, 0.895, 0.500)
Pa (0.231, 0.426, 0.408)
Pa (0.426, 0.231, 0.908)
Pa (0.574, 0.769, 0.408)
Pa (0.769, 0.574, 0.908)
Pa (0.895, 0.105, 0.000)
Be (0.300, 0.700, 0.856)
Be (0.700, 0.300, 0.356)
S (0.075, 0.601, 0.709)
S (0.127, 0.197, 0.703)
S (0.197, 0.127, 0.203)
S (0.279, 0.721, 0.193)
S (0.399, 0.925, 0.709)
S (0.457, 0.543, 0.730)
S (0.543, 0.457, 0.230)
S (0.601, 0.075, 0.209)
S (0.721, 0.279, 0.693)
S (0.803, 0.873, 0.703)
S (0.873, 0.803, 0.203)
S (0.925, 0.399, 0.209)

***

(6)
Computed, not measured: an optimized crystal structure of CsNa4Ag3F12 at the PBE level of DFT.

Results
The calculation puts the uncorrected formation energy at -1.980 eV/atom. As for the space group: Im-3. As for the crystal system: cubic.

a = 7.402 Å, b = 7.402 Å, c = 7.402 Å
α = 109.47°, β = 109.47°, γ = 109.47°
Sites, in units of the cell vectors:
Cs (0.000, 0.000, 0.000)
Na (0.000, 0.000, 0.500)
Na (0.000, 0.500, 0.000)
Na (0.500, 0.000, 0.000)
Na (0.500, 0.500, 0.500)
Ag (0.000, 0.500, 0.500)
Ag (0.500, 0.000, 0.500)
Ag (0.500, 0.500, 0.000)
F (0.158, 0.326, 0.831)
F (0.169, 0.495, 0.326)
F (0.169, 0.842, 0.674)
F (0.326, 0.169, 0.495)
F (0.326, 0.831, 0.158)
F (0.495, 0.326, 0.169)
F (0.505, 0.674, 0.831)
F (0.674, 0.169, 0.842)
F (0.674, 0.831, 0.505)
F (0.831, 0.158, 0.326)
F (0.831, 0.505, 0.674)
F (0.842, 0.674, 0.169)

***

(7)
Computed, not measured: an optimized crystal structure of RbAlCo3 at the PBE level of DFT.

Results
The polymorph energy (0 for the lowest one) is 0.00 kJ per mole of atoms. As for the space group: Pm-3m. The value obtained for the formation energy is 1139.4 meV/atom. As for the crystal system: cubic.

a = 4.694 Å, b = 4.694 Å, c = 4.694 Å
α = 90.00°, β = 90.00°, γ = 90.00°
Sites, in units of the cell vectors:
Rb (0.000, 0.000, 0.000)
Al (0.500, 0.500, 0.500)
Co (0.000, 0.500, 0.500)
Co (0.500, 0.000, 0.500)
Co (0.500, 0.500, 0.000)

***

(8)
Computed, not measured: an optimized crystal structure of HoMnCu at the PBE level of DFT.

Results
As for the space group: Cmcm. The value obtained for the formation energy is 73.6 meV/atom. As for the crystal system: orthorhombic.

a = 4.681 Å, b = 4.681 Å, c = 5.652 Å
α = 90.00°, β = 90.00°, γ = 115.34°
Sites, in units of the cell vectors:
Ho (0.157, 0.843, 0.750)
Ho (0.843, 0.157, 0.250)
Mn (0.500, 0.500, 0.000)
Mn (0.500, 0.500, 0.500)
Cu (0.197, 0.803, 0.250)
Cu (0.803, 0.197, 0.750)

***

(9)
Computed, not measured: an optimized crystal structure of Sc3CoPb at the PBE level of DFT.

Results
The polymorph energy (0 for the lowest one) is 130.92 kJ per mole of atoms. As for the space group: Pm-3m. The value obtained for the formation energy is 991.5 meV/atom. As for the crystal system: cubic.

a = 5.372 Å, b = 5.372 Å, c = 5.372 Å
α = 90.00°, β = 90.00°, γ = 90.00°
Sites, in units of the cell vectors:
Sc (0.000, 0.000, 0.500)
Sc (0.000, 0.500, 0.000)
Sc (0.500, 0.000, 0.000)
Co (0.500, 0.500, 0.500)
Pb (0.000, 0.000, 0.000)

***

(10)
Computed, not measured: an optimized crystal structure of InPRh2 at the PBE level of DFT.

Results
As for the space group: I-4m2. The value obtained for the formation energy is -62.9 meV/atom. As for the crystal system: tetragonal.

a = 5.263 Å, b = 5.263 Å, c = 5.263 Å
α = 138.79°, β = 138.79°, γ = 59.70°
Sites, in units of the cell vectors:
In (0.000, 0.000, 0.000)
P (0.250, 0.750, 0.500)
Rh (0.500, 0.500, 0.000)
Rh (0.750, 0.250, 0.500)

***

no.,density of states at the Fermi level (states/eV/cell),density (g cm⁻³)
1,5.01,9.04
2,23.29,7.96
3,6.30,2.35
4,8.75,8.79
5,27.37,6.83
6,11.99,4.13
7,2.71,4.64
8,4.27,8.41
9,5.93,4.30
10,3.48,9.32